First-principles (GGA-PBE) data for an optimized crystal structure of Ba3InSb3, as listed in Alexandria via LeMat-Bulk.

The structure belongs to space group Cmce (No. 64); the cell edges are 21.820, 7.384 and 14.419 Å and the angles 90.00°, 90.00° and 90.00°. The inequivalent atoms are Ba at (0.000, 0.189, 0.145), Ba at (0.176, 0.197, 0.871), In at (0.087, 0.000, 0.500), Sb at (0.000, 0.213, 0.392) and Sb at (0.162, 0.216, 0.624).

---

First-principles (GGA-PBE) data for an optimized crystal structure of BaIn2Sb, as listed in Alexandria via LeMat-Bulk.

The structure belongs to space group P4mm (No. 99); the cell edges are 4.670, 4.670 and 6.328 Å and the angles 90.00°, 90.00° and 90.00°. The inequivalent atoms are Ba at (0.000, 0.000, 0.000), In at (0.000, 0.500, 0.457) and Sb at (0.500, 0.500, 0.796).

---

First-principles (GGA-PBE) data for an optimized crystal structure of Ba2InSb2, as listed in Alexandria via LeMat-Bulk.

The structure belongs to space group Cmc2_1 (No. 36); the cell edges are 4.895, 18.198 and 9.265 Å and the angles 90.00°, 90.00° and 90.00°. The inequivalent atoms are Ba at (0.000, 0.036, 0.000), Ba at (0.000, 0.200, 0.361), In at (0.000, 0.408, 0.145), Sb at (0.000, 0.174, 0.736) and Sb at (0.000, 0.443, 0.789).

For the polymorph energy (0 for the lowest one), the calculation gives 0.0 kJ per mole of atoms.

---

First-principles (GGA-PBE) data for an optimized crystal structure of Ba2InSb2, as listed in Alexandria via LeMat-Bulk.

The structure belongs to space group P4/mbm (No. 127); the cell edges are 8.666, 8.666 and 5.016 Å and the angles 90.00°, 90.00° and 90.00°. The inequivalent atoms are Ba at (0.179, 0.321, 0.000), In at (0.000, 0.000, 0.500) and Sb at (0.118, 0.618, 0.500).

For the polymorph energy (0 for the lowest one), the calculation gives 2.3 kJ per mole of atoms.

---

First-principles (GGA-PBE) data for an optimized crystal structure of BaIn2Sb, as listed in Alexandria via LeMat-Bulk.

The structure belongs to space group R-3m (No. 166, hexagonal axes); the cell edges are 5.2339, 5.2339 and 17.5040 Å and the angles 90.00°, 90.00° and 120.00°. The inequivalent atoms are Ba at (0.0000, 0.0000, 0.0000), In at (0.0000, 0.0000, 0.2212) and Sb at (0.0000, 0.0000, 0.5000).

---

First-principles (GGA-PBE) data for an optimized crystal structure of Ba8In2Sb, as listed in Alexandria via LeMat-Bulk.

The structure belongs to space group C2/m (No. 12); the cell edges are 21.653, 6.012 and 8.423 Å and the angles 90.00°, 108.28° and 90.00°. The inequivalent atoms are Ba at (0.027, 0.000, 0.286), Ba at (0.097, 0.500, 0.935), Ba at (0.163, 0.500, 0.456), Ba at (0.207, 0.000, 0.807), In at (0.182, 0.000, 0.203) and Sb at (0.000, 0.500, 0.500).

---

First-principles (GGA-PBE) data for an optimized crystal structure of BaInSb, as listed in Alexandria via LeMat-Bulk.

The structure belongs to space group Pnma (No. 62); the cell edges are 8.492, 5.251 and 10.218 Å and the angles 90.00°, 90.00° and 90.00°. The inequivalent atoms are Ba at (0.135, 0.250, 0.164), In at (0.011, 0.750, 0.430) and Sb at (0.154, 0.250, 0.824).

For the polymorph energy (0 for the lowest one), the calculation gives 0.0 kJ per mole of atoms.

---

First-principles (GGA-PBE) data for an optimized crystal structure of BaIn2Sb, as listed in Alexandria via LeMat-Bulk.

The structure belongs to space group Cm (No. 8); the cell edges are 10.082, 4.567 and 6.265 Å and the angles 90.00°, 108.83° and 90.00°. The inequivalent atoms are Ba at (0.000, 0.000, 0.000), In at (0.266, 0.500, 0.334), In at (0.498, 0.000, 0.479) and Sb at (0.240, 0.000, 0.663).

---

First-principles (GGA-PBE) data for an optimized crystal structure of BaInSb, as listed in Alexandria via LeMat-Bulk.

The structure belongs to space group Ima2 (No. 46); the cell edges are 5.456, 9.997 and 7.810 Å and the angles 90.00°, 90.00° and 90.00°. The inequivalent atoms are Ba at (0.250, 0.173, 0.000), In at (0.250, 0.573, 0.148) and Sb at (0.250, 0.651, 0.784).

For the polymorph energy (0 for the lowest one), the calculation gives 5.9 kJ per mole of atoms.

---

First-principles (GGA-PBE) data for an optimized crystal structure of Ba2InSb2, as listed in Alexandria via LeMat-Bulk.

The structure belongs to space group I4/mmm (No. 139); the cell edges are 4.401, 4.401 and 20.408 Å and the angles 90.00°, 90.00° and 90.00°. The inequivalent atoms are Ba at (0.000, 0.000, 0.110), In at (0.000, 0.000, 0.500) and Sb at (0.000, 0.500, 0.250).

For the polymorph energy (0 for the lowest one), the calculation gives 31.2 kJ per mole of atoms.

---

First-principles (GGA-PBE) data for an optimized crystal structure of Ba2InSb, as listed in Alexandria via LeMat-Bulk.

The structure belongs to space group Pmm2 (No. 25); the cell edges are 3.971, 5.974 and 7.170 Å and the angles 90.00°, 90.00° and 90.00°. The inequivalent atoms are Ba at (0.000, 0.000, 0.000), Ba at (0.500, 0.500, 0.499), In at (0.000, 0.000, 0.500) and Sb at (0.500, 0.500, 0.999).

For the polymorph energy (0 for the lowest one), the calculation gives 28.9 kJ per mole of atoms.

---

First-principles (GGA-PBE) data for an optimized crystal structure of Ba2InSb, as listed in Alexandria via LeMat-Bulk.

The structure belongs to space group C2/m (No. 12); the cell edges are 8.644, 4.963 and 9.348 Å and the angles 90.00°, 107.76° and 90.00°. The inequivalent atoms are Ba at (0.237, 0.000, 0.211), In at (0.000, 0.000, 0.500) and Sb at (0.000, 0.500, 0.000).

For the polymorph energy (0 for the lowest one), the calculation gives 22.3 kJ per mole of atoms.

---

First-principles (GGA-PBE) data for an optimized crystal structure of BaIn3Sb3, as listed in Alexandria via LeMat-Bulk.

The structure belongs to space group Pm-3n (No. 223); the cell edges are 8.181, 8.181 and 8.181 Å and the angles 90.00°, 90.00° and 90.00°. The inequivalent atoms are Ba at (0.000, 0.000, 0.000), In at (0.000, 0.250, 0.500) and Sb at (0.000, 0.500, 0.250).

---

First-principles (GGA-PBE) data for an optimized crystal structure of BaInSb, as listed in Alexandria via LeMat-Bulk.

The structure belongs to space group P3m1 (No. 156); the cell edges are 4.8427, 4.8427 and 5.5095 Å and the angles 90.00°, 90.00° and 120.00°. The inequivalent atoms are Ba at (0.0000, 0.0000, 0.0000), In at (0.6667, 0.3333, 0.6088) and Sb at (0.3333, 0.6667, 0.3904).

For the polymorph energy (0 for the lowest one), the calculation gives 5.1 kJ per mole of atoms.

---

First-principles (GGA-PBE) data for an optimized crystal structure of BaIn2Sb, as listed in Alexandria via LeMat-Bulk.

The structure belongs to space group I-42d (No. 122); the cell edges are 9.078, 9.078 and 6.878 Å and the angles 90.00°, 90.00° and 90.00°. The inequivalent atoms are Ba at (0.000, 0.000, 0.000), In at (0.203, 0.250, 0.625) and Sb at (0.000, 0.000, 0.500).

---

First-principles (GGA-PBE) data for an optimized crystal structure of Ba2InSb, as listed in Alexandria via LeMat-Bulk.

The structure belongs to space group Amm2 (No. 38); the cell edges are 4.786, 5.283 and 12.810 Å and the angles 90.00°, 90.00° and 90.00°. The inequivalent atoms are Ba at (0.000, 0.000, 0.000), Ba at (0.500, 0.000, 0.273), In at (0.000, 0.000, 0.713) and Sb at (0.500, 0.000, 0.562).

For the polymorph energy (0 for the lowest one), the calculation gives 0.0 kJ per mole of atoms.

---

First-principles (GGA-PBE) data for an optimized crystal structure of BaInSb, as listed in Alexandria via LeMat-Bulk.

The structure belongs to space group Cm (No. 8); the cell edges are 13.238, 4.571 and 9.347 Å and the angles 90.00°, 129.42° and 90.00°. The inequivalent atoms are Ba at (0.000, 0.000, 0.000), Ba at (0.080, 0.000, 0.616), In at (0.323, 0.000, 0.550), In at (0.354, 0.000, 0.241), Sb at (0.129, 0.500, 0.366) and Sb at (0.223, 0.500, 0.987).

For the polymorph energy (0 for the lowest one), the calculation gives 6.2 kJ per mole of atoms.

---

First-principles (GGA-PBE) data for an optimized crystal structure of Ba2ScInSb, as listed in Alexandria via LeMat-Bulk.

The structure belongs to space group P4/mmm (No. 123); the cell edges are 6.388, 6.388 and 5.506 Å and the angles 90.00°, 90.00° and 90.00°. The inequivalent atoms are Ba at (0.000, 0.500, 0.000), Sc at (0.000, 0.000, 0.500), In at (0.000, 0.000, 0.000) and Sb at (0.500, 0.500, 0.500).

---

First-principles (GGA-PBE) data for an optimized crystal structure of BaInSi2Sb, as listed in Alexandria via LeMat-Bulk.

The structure belongs to space group P4/mmm (No. 123); the cell edges are 5.316, 5.316 and 6.363 Å and the angles 90.00°, 90.00° and 90.00°. The inequivalent atoms are Ba at (0.000, 0.000, 0.000), In at (0.500, 0.500, 0.000), Si at (0.000, 0.500, 0.500) and Sb at (0.000, 0.000, 0.500).

---

First-principles (GGA-PBE) data for an optimized crystal structure of Ba2SmIn2Sb4, as listed in Alexandria via LeMat-Bulk.

The structure belongs to space group C2/m (No. 12); the cell edges are 17.061, 4.698 and 8.302 Å and the angles 90.00°, 110.16° and 90.00°. The inequivalent atoms are Ba at (0.127, 0.000, 0.076), Sm at (0.000, 0.000, 0.500), In at (0.167, 0.500, 0.480), Sb at (0.001, 0.500, 0.765) and Sb at (0.202, 0.000, 0.709).

---

no.,uncorrected formation energy (eV/atom),volume (Å³ per cell)
1,-0.884,2323.1
2,-0.490,138.0
3,-0.782,825.3
4,-0.758,376.7
5,-0.326,415.3
6,-0.379,1041.2
7,-0.713,455.6
8,-0.425,273.0
9,-0.652,426.0
10,-0.458,395.2
11,-0.432,170.1
12,-0.501,381.9
13,-0.108,547.6
14,-0.661,111.9
15,-0.374,566.9
16,-0.732,323.9
17,-0.650,436.9
18,0.008,224.7
19,0.596,179.8
20,-0.710,624.6